Below is a relaxed Nd5Er4Tm2 crystal, with properties calculated at the GGA-PBE level.

```
data_Nd5Er4Tm2
_space_group_name_H-M_alt 'I m m m'
_space_group_IT_number 71
_space_group_name_Hall '-I 2 2'
_cell_length_a 3.516
_cell_length_b 9.088
_cell_length_c 23.545
_cell_angle_alpha 90.00
_cell_angle_beta 90.00
_cell_angle_gamma 90.00
loop_
_atom_site_label
_atom_site_type_symbol
_atom_site_fract_x
_atom_site_fract_y
_atom_site_fract_z
Nd1 Nd 0.000 0.000 0.000
Nd2 Nd 0.000 0.299 0.354
Er1 Er 0.000 0.185 0.500
Er2 Er 0.000 0.500 0.097
Tm1 Tm 0.000 0.500 0.230
```

Magnetization (μB per formula unit): 0.000
Relative energy among the computed polymorphs (meV per atom): 125
Calculated total energy (eV per atom): -4.437

=====

Below is a relaxed SbP2S2 crystal, with properties calculated at the GGA-PBE level.

```
data_SbP2S2
_space_group_name_H-M_alt 'P 4/m m m'
_space_group_IT_number 123
_space_group_name_Hall '-P 4 2'
_cell_length_a 4.890
_cell_length_b 4.890
_cell_length_c 5.242
_cell_angle_alpha 90.00
_cell_angle_beta 90.00
_cell_angle_gamma 90.00
loop_
_atom_site_label
_atom_site_type_symbol
_atom_site_fract_x
_atom_site_fract_y
_atom_site_fract_z
Sb1 Sb 0.000 0.000 0.000
P1 P 0.000 0.000 0.500
P2 P 0.500 0.500 0.500
S1 S 0.000 0.500 0.000
```

Magnetization (μB per formula unit): 0.242
Relative energy among the computed polymorphs (meV per atom): 743
Calculated total energy (eV per atom): -3.430

=====

Below is a relaxed Er3TmO crystal, with properties calculated at the GGA-PBE level.

```
data_Er3TmO
_space_group_name_H-M_alt 'P m -3 m'
_space_group_IT_number 221
_space_group_name_Hall '-P 4 2 3'
_cell_length_a 4.876
_cell_length_b 4.876
_cell_length_c 4.876
_cell_angle_alpha 90.00
_cell_angle_beta 90.00
_cell_angle_gamma 90.00
loop_
_atom_site_label
_atom_site_type_symbol
_atom_site_fract_x
_atom_site_fract_y
_atom_site_fract_z
Er1 Er 0.000 0.000 0.500
Tm1 Tm 0.500 0.500 0.500
O1 O 0.000 0.000 0.000
```

Magnetization (μB per formula unit): 0.003
Calculated total energy (eV per atom): -5.725

=====

Below is a relaxed Nb2SnAs crystal, with properties calculated at the GGA-PBE level.

```
data_Nb2SnAs
_space_group_name_H-M_alt 'I -4 2 d'
_space_group_IT_number 122
_space_group_name_Hall 'I -4 2bw'
_cell_length_a 4.073
_cell_length_b 4.073
_cell_length_c 19.648
_cell_angle_alpha 90.00
_cell_angle_beta 90.00
_cell_angle_gamma 90.00
loop_
_atom_site_label
_atom_site_type_symbol
_atom_site_fract_x
_atom_site_fract_y
_atom_site_fract_z
Nb1 Nb 0.242 0.250 0.125
Sn1 Sn 0.000 0.000 0.500
As1 As 0.000 0.000 0.000
```

Magnetization (μB per formula unit): 0.000
Relative energy among the computed polymorphs (meV per atom): 278
Calculated total energy (eV per atom): -6.983